Density functional theory data (GGA-PBE) for SrB after structural relaxation.

Unit cell a=11.3175 b=11.3175 c=3.2630 alpha=90.00 beta=90.00 gamma=90.00
Last column: nearest neighbours and their distance in Å.
Fractional coordinates of all 16 atoms:
Sr 0.6783 0.0000 0.0000  6 B 2.85-3.10
Sr 0.0000 0.3217 0.0000  6 B 2.85-3.10
Sr 0.6619 0.6619 0.5000  6 B 2.81-3.05
Sr 0.3217 0.0000 0.0000  6 B 2.85-3.10
Sr 0.0000 0.6783 0.0000  6 B 2.85-3.10
Sr 0.3381 0.3381 0.5000  6 B 2.81-3.05
Sr 0.3381 0.6619 0.5000  6 B 2.81-3.05
Sr 0.6619 0.3381 0.5000  6 B 2.81-3.05
B 0.1499 0.5000 0.5000  2 B 1.66
B 0.5000 0.8501 0.5000  2 B 1.66
B 0.1775 0.5000 0.0000  2 B 1.66
B 0.5000 0.1775 0.0000  2 B 1.66
B 0.8501 0.5000 0.5000  2 B 1.66
B 0.8225 0.5000 0.0000  2 B 1.66
B 0.5000 0.1499 0.5000  2 B 1.66
B 0.5000 0.8225 0.0000  2 B 1.66

Properties
D(E_F): 1.4 states/eV/f.u.
formation enthalpy at 0 K: 8.17 kJ/mol of atoms
energy relative to the lowest polymorph listed for this composition: 10.1 kJ/mol of atoms
uncorrected energy: -4.095 eV/atom